(w)
First-principles (PBE) data for TiOsSe2N after structural relaxation, as listed in Alexandria.

Cell lengths 5.055, 5.055, 3.664 Å; angles 90.00, 90.00, 90.00 degrees
Fractional positions:
Ti (0.000, 0.000, 0.000)
Os (0.500, 0.500, 0.500)
Se (0.000, 0.500, 0.500)
Se (0.500, 0.000, 0.500)
N (0.500, 0.500, 0.000)

Properties
Crystal system   tetragonal
Space-group type   P4/mmm (123)

---

(x)
First-principles (PBE) data for TiOsSe2N after structural relaxation, as listed in Alexandria.

Cell lengths 5.013, 5.013, 3.593 Å; angles 90.00, 90.00, 90.00 degrees
Fractional positions:
Ti (0.000, 0.000, 0.000)
Os (0.500, 0.500, 0.500)
Se (0.000, 0.500, 0.000)
Se (0.500, 0.000, 0.000)
N (0.000, 0.000, 0.500)

Properties
Crystal system   tetragonal
Space-group type   P4/mmm (123)

---

In terms of stability, (w) leads; the second structure lies 0.435 eV/atom higher.

---

(w)
First-principles (PBE) data for TlOsSeN2 after structural relaxation, as listed in Alexandria.

Cell lengths 4.110, 4.110, 6.137 Å; angles 90.00, 90.00, 90.00 degrees
Fractional positions:
Tl (0.000, 0.000, 0.000)
Os (0.500, 0.500, 0.500)
Se (0.000, 0.000, 0.500)
N (0.000, 0.500, 0.000)
N (0.500, 0.000, 0.000)

Properties
Crystal system   tetragonal
Space-group type   P4/mmm (123)

---

(x)
First-principles (PBE) data for TlOsSeN2 after structural relaxation, as listed in Alexandria.

Cell lengths 3.907, 3.907, 5.459 Å; angles 90.00, 90.00, 90.00 degrees
Fractional positions:
Tl (0.000, 0.000, 0.000)
Os (0.500, 0.500, 0.500)
Se (0.500, 0.500, 0.000)
N (0.000, 0.500, 0.500)
N (0.500, 0.000, 0.500)

Properties
Crystal system   tetragonal
Space-group type   P4/mmm (123)

---

In terms of stability, (x) leads; the second structure lies 2.052 eV/atom higher.

---

(w)
First-principles (PBE) data for VOsSe2N after structural relaxation, as listed in Alexandria.

Cell lengths 5.049, 5.049, 3.653 Å; angles 90.00, 90.00, 90.00 degrees
Fractional positions:
V (0.000, 0.000, 0.000)
Os (0.500, 0.500, 0.500)
Se (0.000, 0.500, 0.500)
Se (0.500, 0.000, 0.500)
N (0.500, 0.500, 0.000)

Properties
Crystal system   tetragonal
Space-group type   P4/mmm (123)

---

(x)
First-principles (PBE) data for VOsSe2N after structural relaxation, as listed in Alexandria.

Cell lengths 4.898, 4.898, 3.500 Å; angles 90.00, 90.00, 90.00 degrees
Fractional positions:
V (0.000, 0.000, 0.000)
Os (0.500, 0.500, 0.500)
Se (0.000, 0.500, 0.000)
Se (0.500, 0.000, 0.000)
N (0.000, 0.000, 0.500)

Properties
Crystal system   tetragonal
Space-group type   P4/mmm (123)

---

(y)
First-principles (PBE) data for VOsSe2N after structural relaxation, as listed in Alexandria.

Cell lengths 4.664, 4.664, 3.712 Å; angles 90.00, 90.00, 90.00 degrees
Fractional positions:
V (0.000, 0.000, 0.000)
Os (0.500, 0.500, 0.000)
Se (0.000, 0.500, 0.500)
Se (0.500, 0.000, 0.500)
N (0.500, 0.500, 0.500)

Properties
Crystal system   tetragonal
Space-group type   P4/mmm (123)

---

In terms of stability, (w) leads; the second structure lies 0.126 eV/atom higher.